Here is crystalline TlI3F at its relaxed geometry from the Alexandria database. Energies are from GGA-PBE.

Unit cell a=5.477 b=5.477 c=5.477 alpha=90.00 beta=90.00 gamma=90.00
Element x y z (fractional)
I  0.500  0.000  0.000
I  0.000  0.500  0.000
I  0.000  0.000  0.500
F  0.000  0.000  0.000
Tl  0.500  0.500  0.500

Calculated values
The energy is -9.84 eV per formula unit. Its energy above the most stable polymorph in this dataset is 0.000 eV per atom. The value obtained for the uncorrected formation energy is -0.19 eV/atom. The value obtained for the magnetization is 0.0 μB/f.u. For the calculated volume, the calculation gives 164.3 Å³ per cell.